Entry 1:
Crystalline Ho2CdGa2Pt5 at its relaxed geometry. Source: Alexandria, functional PBE-GGA.

Values from the calculation:
symmetry	P4/mbm, No. 127
energy relative to the elements	-0.83	eV/atom
magnetic moment	0.00	μB per formula unit
final energy	-54.64	eV per formula unit

Unit cell a=3.8495 b=9.7213 c=9.7213 alpha=90.00 beta=90.00 gamma=90.00
Last column: nearest neighbours and their distance in Å.
Atoms (fractional coordinates):
1 Pt 0.5000 0.5000 0.0000  4 Ga 2.56
2 Pt 0.5000 0.9324 0.2099  2 Ga 2.58, 2 Cd 2.88
3 Pt 0.5000 0.2901 0.5676  2 Ga 2.58, 2 Cd 2.88
4 Pt 0.5000 0.2099 0.0676  2 Ga 2.58, 2 Cd 2.88
5 Pt 0.5000 0.7901 0.9324  2 Ga 2.58, 2 Cd 2.88
6 Pt 0.5000 0.0676 0.7901  2 Ga 2.58, 2 Cd 2.88
7 Pt 0.5000 0.7099 0.4324  2 Ga 2.58, 2 Cd 2.88
8 Pt 0.5000 0.0000 0.5000  4 Ga 2.56
9 Pt 0.5000 0.5676 0.7099  2 Ga 2.58, 2 Cd 2.88
10 Pt 0.5000 0.4324 0.2901  2 Ga 2.58, 2 Cd 2.88
11 Ga 0.0000 0.1227 0.6227  6 Pt 2.56-2.58, 1 Ho 2.77
12 Ga 0.0000 0.8773 0.3773  6 Pt 2.56-2.58, 1 Ho 2.77
13 Ga 0.0000 0.6227 0.8773  6 Pt 2.56-2.58, 1 Ho 2.77
14 Ga 0.0000 0.3773 0.1227  6 Pt 2.56-2.58, 1 Ho 2.77
15 Ho 0.0000 0.1759 0.3241  3 Ga 2.77-2.95, 2 Pt 3.09
16 Ho 0.0000 0.8241 0.6759  3 Ga 2.77-2.95, 2 Pt 3.09
17 Ho 0.0000 0.6759 0.1759  3 Ga 2.77-2.95, 2 Pt 3.09
18 Ho 0.0000 0.3241 0.8241  3 Ga 2.77-2.95, 2 Pt 3.09
19 Cd 0.0000 0.0000 0.0000  8 Pt 2.88
20 Cd 0.0000 0.5000 0.5000  8 Pt 2.88



Entry 2:
Crystalline HoCdGa2Pt2 at its relaxed geometry. Source: Alexandria, functional PBE-GGA.

Values from the calculation:
symmetry	P-3m1, No. 164
energy relative to the elements	-0.76	eV/atom
magnetic moment	0.00	μB per formula unit
final energy	-28.21	eV per formula unit

Unit cell a=4.4341 b=4.4341 c=6.5712 alpha=90.00 beta=90.00 gamma=120.00
Last column: nearest neighbours and their distance in Å.
Atoms (fractional coordinates):
1 Ga 0.3333 0.6667 0.7744  3 Pt 2.56
2 Ga 0.6667 0.3333 0.2256  3 Pt 2.56
3 Pt 0.6667 0.3333 0.7664  3 Ga 2.56
4 Pt 0.3333 0.6667 0.2336  3 Ga 2.56
5 Ho 0.0000 0.0000 0.5000  6 Pt 3.10, 6 Ga 3.13, 2 Cd 3.29
6 Cd 0.0000 0.0000 0.0000  6 Ga 2.96, 6 Pt 2.98, 2 Ho 3.29



Entry 3:
Crystalline Ho2CdGa4Pt3 at its relaxed geometry. Source: Alexandria, functional PBE-GGA.

Values from the calculation:
symmetry	P-4m2, No. 115
energy relative to the elements	-0.79	eV/atom
magnetic moment	0.00	μB per formula unit
final energy	-48.23	eV per formula unit

Unit cell a=4.1912 b=4.1912 c=10.9795 alpha=90.00 beta=90.00 gamma=90.00
Last column: nearest neighbours and their distance in Å.
Atoms (fractional coordinates):
1 Ho 0.0000 0.5000 0.7663  4 Pt 3.16, 8 Ga 3.25-3.31
2 Ho 0.5000 0.0000 0.2337  4 Pt 3.16, 8 Ga 3.25-3.31
3 Ga 0.5000 0.5000 0.0000  4 Pt 2.56
4 Ga 0.0000 0.0000 0.0000  4 Pt 2.56
5 Ga 0.0000 0.5000 0.3551  3 Pt 2.44-2.63, 2 Cd 2.63
6 Ga 0.5000 0.0000 0.6449  3 Pt 2.44-2.63, 2 Cd 2.63
7 Pt 0.0000 0.5000 0.1332  5 Ga 2.44-2.56
8 Pt 0.5000 0.0000 0.8668  5 Ga 2.44-2.56
9 Pt 0.0000 0.0000 0.5000  4 Ga 2.63
10 Cd 0.5000 0.5000 0.5000  4 Ga 2.63



Entry 4:
Crystalline Ho4CdGa2Rh at its relaxed geometry. Source: Alexandria, functional PBE-GGA.

Values from the calculation:
symmetry	R-3m, No. 166
energy relative to the elements	-0.59	eV/atom
magnetic moment	0.00	μB per formula unit
final energy	-37.39	eV per formula unit

Unit cell a=5.0519 b=5.0519 c=8.7054 alpha=73.13 beta=73.13 gamma=60.00
Last column: nearest neighbours and their distance in Å.
Atoms (fractional coordinates):
1 Ho 0.3831 0.3831 0.8506  1 Rh 2.88, 4 Ga 3.00-3.14, 3 Cd 3.16
2 Ho 0.8692 0.8692 0.3925  3 Rh 3.05, 4 Ga 3.07-3.20, 1 Cd 3.22, 3 Ho 3.41
3 Ho 0.1308 0.1308 0.6075  3 Rh 3.05, 4 Ga 3.07-3.20, 1 Cd 3.22, 3 Ho 3.41
4 Ho 0.6169 0.6169 0.1494  1 Rh 2.88, 4 Ga 3.00-3.14, 3 Cd 3.16
5 Rh 0.5000 0.5000 0.5000  8 Ho 2.88-3.05
6 Ga 0.7443 0.7443 0.7671  8 Ho 3.00-3.20
7 Ga 0.2557 0.2557 0.2329  8 Ho 3.00-3.20
8 Cd 0.0000 0.0000 0.0000  8 Ho 3.16-3.22, 6 Ga 3.49



Entry 5:
Crystalline SrHoCdGa at its relaxed geometry. Source: Alexandria, functional PBE-GGA.

Values from the calculation:
symmetry	F-43m, No. 216
energy relative to the elements	-0.33	eV/atom
magnetic moment	0.00	μB per formula unit
final energy	-11.52	eV per formula unit

Unit cell a=5.3739 b=5.3739 c=5.3739 alpha=60.00 beta=60.00 gamma=60.00
Last column: nearest neighbours and their distance in Å.
Atoms (fractional coordinates):
1 Sr 0.7500 0.7500 0.7500  4 Cd 3.29, 4 Ga 3.29
2 Cd 0.5000 0.5000 0.5000  4 Sr 3.29, 4 Ho 3.29
3 Ga 0.0000 0.0000 0.0000  4 Ho 3.29, 4 Sr 3.29
4 Ho 0.2500 0.2500 0.2500  4 Cd 3.29, 4 Ga 3.29



Entry 6:
Crystalline HoTlCdGa at its relaxed geometry. Source: Alexandria, functional PBE-GGA.

Values from the calculation:
symmetry	F-43m, No. 216
energy relative to the elements	-0.16	eV/atom
magnetic moment	0.00	μB per formula unit
final energy	-11.52	eV per formula unit

Unit cell a=5.1265 b=5.1265 c=5.1265 alpha=60.00 beta=60.00 gamma=60.00
Last column: nearest neighbours and their distance in Å.
Atoms (fractional coordinates):
1 Cd 0.7500 0.7500 0.7500  4 Tl 3.14, 4 Ga 3.14
2 Ho 0.2500 0.2500 0.2500  4 Tl 3.14, 4 Ga 3.14
3 Tl 0.5000 0.5000 0.5000  4 Cd 3.14, 4 Ho 3.14
4 Ga 0.0000 0.0000 0.0000  4 Cd 3.14, 4 Ho 3.14



Entry 7:
Crystalline Ho4TlCd2Ga at its relaxed geometry. Source: Alexandria, functional PBE-GGA.

Values from the calculation:
symmetry	R-3m, No. 166
energy relative to the elements	-0.39	eV/atom
magnetic moment	0.00	μB per formula unit
final energy	-28.63	eV per formula unit

Unit cell a=5.2249 b=5.2249 c=9.0577 alpha=73.24 beta=73.24 gamma=60.00
Last column: nearest neighbours and their distance in Å.
Atoms (fractional coordinates):
1 Ho 0.3793 0.3793 0.8621  1 Ga 3.09, 4 Cd 3.16-3.28, 3 Tl 3.24
2 Ho 0.1289 0.1289 0.6133  4 Cd 3.13-3.25, 3 Ga 3.17, 1 Tl 3.30
3 Ho 0.8711 0.8711 0.3867  4 Cd 3.13-3.25, 3 Ga 3.17, 1 Tl 3.30
4 Ho 0.6207 0.6207 0.1379  1 Ga 3.09, 4 Cd 3.16-3.28, 3 Tl 3.24
5 Ga 0.5000 0.5000 0.5000  8 Ho 3.09-3.17
6 Cd 0.7488 0.7488 0.7536  8 Ho 3.13-3.28
7 Cd 0.2512 0.2512 0.2464  8 Ho 3.13-3.28
8 Tl 0.0000 0.0000 0.0000  8 Ho 3.24-3.30



Entry 8:
Crystalline YHoCdGa at its relaxed geometry. Source: Alexandria, functional PBE-GGA.

Values from the calculation:
symmetry	F-43m, No. 216
energy relative to the elements	-0.45	eV/atom
magnetic moment	0.00	μB per formula unit
final energy	-16.80	eV per formula unit
E above lowest polymorph	17.9	meV/atom

Unit cell a=5.1688 b=5.1688 c=5.1688 alpha=60.00 beta=60.00 gamma=60.00
Last column: nearest neighbours and their distance in Å.
Atoms (fractional coordinates):
1 Y 0.5000 0.5000 0.5000  4 Ga 3.17, 4 Cd 3.17
2 Ga 0.2500 0.2500 0.2500  4 Ho 3.17, 4 Y 3.17
3 Cd 0.7500 0.7500 0.7500  4 Ho 3.17, 4 Y 3.17
4 Ho 0.0000 0.0000 0.0000  4 Cd 3.17, 4 Ga 3.17



Entry 9:
Crystalline YHoCdGa at its relaxed geometry. Source: Alexandria, functional PBE-GGA.

Values from the calculation:
symmetry	P4mm, No. 99
energy relative to the elements	-0.47	eV/atom
magnetic moment	0.00	μB per formula unit
final energy	-16.87	eV per formula unit
E above lowest polymorph	0.0	meV/atom

Unit cell a=3.6250 b=3.6250 c=7.4161 alpha=90.00 beta=90.00 gamma=90.00
Last column: nearest neighbours and their distance in Å.
Atoms (fractional coordinates):
1 Cd 0.5000 0.5000 0.1044  4 Ho 3.22, 4 Y 3.24
2 Ga 0.5000 0.5000 0.6097  4 Ho 3.09, 4 Y 3.11
3 Ho 0.0000 0.0000 0.8419  4 Ga 3.09, 4 Cd 3.22
4 Y 0.0000 0.0000 0.3720  4 Ga 3.11, 4 Cd 3.24



Entry 10:
Crystalline HoZnCdGa at its relaxed geometry. Source: Alexandria, functional PBE-GGA.

Values from the calculation:
symmetry	F-43m, No. 216
energy relative to the elements	-0.31	eV/atom
magnetic moment	0.00	μB per formula unit
final energy	-11.05	eV per formula unit

Unit cell a=4.8703 b=4.8703 c=4.8703 alpha=60.00 beta=60.00 gamma=60.00
Last column: nearest neighbours and their distance in Å.
Atoms (fractional coordinates):
1 Zn 0.5000 0.5000 0.5000  4 Ho 2.98, 4 Cd 2.98
2 Ga 0.0000 0.0000 0.0000  4 Cd 2.98, 4 Ho 2.98
3 Ho 0.2500 0.2500 0.2500  4 Ga 2.98, 4 Zn 2.98
4 Cd 0.7500 0.7500 0.7500  4 Zn 2.98, 4 Ga 2.98



Entry 11:
Crystalline HoZrCdGa at its relaxed geometry. Source: Alexandria, functional PBE-GGA.

Values from the calculation:
symmetry	F-43m, No. 216
energy relative to the elements	-0.31	eV/atom
magnetic moment	0.00	μB per formula unit
final energy	-18.31	eV per formula unit

Unit cell a=4.9922 b=4.9922 c=4.9922 alpha=60.00 beta=60.00 gamma=60.00
Last column: nearest neighbours and their distance in Å.
Atoms (fractional coordinates):
1 Cd 0.7500 0.7500 0.7500  4 Zr 3.06, 4 Ho 3.06
2 Ho 0.5000 0.5000 0.5000  4 Ga 3.06, 4 Cd 3.06
3 Ga 0.2500 0.2500 0.2500  4 Zr 3.06, 4 Ho 3.06
4 Zr 0.0000 0.0000 0.0000  4 Cd 3.06, 4 Ga 3.06



Entry 12:
Crystalline Cd3Ga2I8 at its relaxed geometry. Source: Alexandria, functional PBE-GGA.

Values from the calculation:
symmetry	C2/m, No. 12
magnetic moment	0.00	μB per formula unit
final energy	-27.32	eV per formula unit

Unit cell a=7.6225 b=8.7044 c=8.7044 alpha=61.49 beta=89.67 gamma=89.67
Last column: nearest neighbours and their distance in Å.
Atoms (fractional coordinates):
1 I 0.3303 0.6473 0.1216  2 Cd 3.02-3.05, 2 Ga 3.25-3.31
2 I 0.6697 0.8784 0.3527  2 Cd 3.02-3.05, 2 Ga 3.25-3.31
3 I 0.8345 0.8879 0.8879  3 Cd 3.04-3.09
4 I 0.8643 0.3820 0.3820  2 Cd 3.00, 1 Ga 3.13
5 I 0.6697 0.3527 0.8784  2 Cd 3.02-3.05, 2 Ga 3.25-3.31
6 I 0.1357 0.6180 0.6180  2 Cd 3.00, 1 Ga 3.13
7 I 0.1655 0.1121 0.1121  3 Cd 3.04-3.09
8 I 0.3303 0.1216 0.6473  2 Cd 3.02-3.05, 2 Ga 3.25-3.31
9 Cd 0.0000 0.7455 0.2545  6 I 3.00-3.09
10 Cd 0.5000 0.0000 0.0000  6 I 3.02-3.04
11 Cd 0.0000 0.2545 0.7455  6 I 3.00-3.09
12 Ga 0.4795 0.7316 0.7316  5 I 3.13-3.31
13 Ga 0.5205 0.2684 0.2684  5 I 3.13-3.31